[1]
A plane-wave DFT calculation with GGA-PBE was carried out for an optimized crystal structure of La2Al2As. Values from VASP.

The structure in Quantum ESPRESSO input format:
```
&SYSTEM
  ibrav = 0, nat = 10, ntyp = 3
/
ATOMIC_SPECIES
La 138.91 La.upf
Al 26.98 Al.upf
As 74.92 As.upf
ATOMIC_POSITIONS crystal
La 0.169 0.331 0.000
La 0.331 0.831 0.000
La 0.669 0.169 0.000
La 0.831 0.669 0.000
Al 0.130 0.630 0.500
Al 0.370 0.130 0.500
Al 0.630 0.870 0.500
Al 0.870 0.370 0.500
As 0.000 0.000 0.500
As 0.500 0.500 0.500
CELL_PARAMETERS angstrom
7.338 0.000 0.000
0.000 7.338 0.000
0.000 0.000 4.765
```

- Density: 5.26 Mg/m³
- DFT formation energy: -0.49 eV per atom
- Uncorrected energy: -48.88 eV per cell


[2]
A plane-wave DFT calculation with GGA-PBE was carried out for an optimized crystal structure of HoHf3Co2. Values from VASP.

The structure in Quantum ESPRESSO input format:
```
&SYSTEM
  ibrav = 0, nat = 12, ntyp = 3
/
ATOMIC_SPECIES
Ho 164.93 Ho.upf
Hf 178.49 Hf.upf
Co 58.93 Co.upf
ATOMIC_POSITIONS crystal
Ho 0.147 0.147 0.233
Ho 0.853 0.853 0.767
Hf 0.056 0.056 0.729
Hf 0.308 0.308 0.017
Hf 0.397 0.397 0.496
Hf 0.603 0.603 0.504
Hf 0.692 0.692 0.983
Hf 0.944 0.944 0.271
Co 0.195 0.195 0.640
Co 0.486 0.486 0.133
Co 0.514 0.514 0.867
Co 0.805 0.805 0.360
CELL_PARAMETERS angstrom
7.675 -2.311 0.000
7.675 2.311 0.000
-3.672 0.000 6.644
```

- Density: 11.53 Mg/m³
- DFT formation energy: -0.16 eV per atom
- Uncorrected energy: -99.25 eV per cell


[3]
A plane-wave DFT calculation with GGA-PBE was carried out for an optimized crystal structure of BiSb3Pd4. Values from VASP.

The structure in Quantum ESPRESSO input format:
```
&SYSTEM
  ibrav = 0, nat = 16, ntyp = 3
/
ATOMIC_SPECIES
Bi 208.98 Bi.upf
Sb 121.76 Sb.upf
Pd 106.42 Pd.upf
ATOMIC_POSITIONS crystal
Bi 0.250 0.250 0.243
Bi 0.750 0.750 0.757
Sb 0.250 0.006 0.724
Sb 0.250 0.494 0.724
Sb 0.250 0.750 0.210
Sb 0.750 0.250 0.790
Sb 0.750 0.506 0.276
Sb 0.750 0.994 0.276
Pd 0.250 0.250 0.910
Pd 0.250 0.519 0.409
Pd 0.250 0.750 0.897
Pd 0.250 0.981 0.409
Pd 0.750 0.019 0.591
Pd 0.750 0.250 0.103
Pd 0.750 0.481 0.591
Pd 0.750 0.750 0.090
CELL_PARAMETERS angstrom
5.075 0.000 0.000
0.000 9.070 0.000
0.000 0.000 8.433
```

- Density: 8.56 Mg/m³
- ΔE_f (raw): -224 kJ/mol of formula units
- Uncorrected energy: -78.69 eV per cell


- What is the formula in the third record?
  BiSb3Pd4


- Which of these has the lowest density?
  La2Al2As